Compound: SrTaSn3
Source: Alexandria
Functional: PBEsol
Structure: relaxed

Geometry as CIF:
```
data_SrTaSn3
_cell_length_a 5.3285
_cell_length_b 5.3285
_cell_length_c 5.3285
_cell_angle_alpha 90.00
_cell_angle_beta 90.00
_cell_angle_gamma 90.00
_space_group_name_H-M_alt 'P m -3 m'
_space_group_IT_number 221
_space_group_name_Hall '-P 4 2 3'
loop_
_atom_site_label
_atom_site_fract_x
_atom_site_fract_y
_atom_site_fract_z
Sr1 0.0000 0.0000 0.0000
Ta1 0.5000 0.5000 0.5000
Sn1 0.0000 0.5000 0.5000
```

***

Compound: Sr2Tc2Sn
Source: Alexandria
Functional: PBEsol
Structure: relaxed

Geometry as CIF:
```
data_Sr2Tc2Sn
_cell_length_a 4.6797
_cell_length_b 4.6797
_cell_length_c 12.5799
_cell_angle_alpha 90.00
_cell_angle_beta 90.00
_cell_angle_gamma 90.00
_space_group_name_H-M_alt 'I 4/m m m'
_space_group_IT_number 139
_space_group_name_Hall '-I 4 2'
loop_
_atom_site_label
_atom_site_fract_x
_atom_site_fract_y
_atom_site_fract_z
Sr1 0.0000 0.5000 0.2500
Tc1 0.0000 0.0000 0.0823
Sn1 0.0000 0.0000 0.5000
```

***

Compound: SrTc2Sn2
Source: Alexandria
Functional: PBEsol
Structure: relaxed

Geometry as CIF:
```
data_SrTc2Sn2
_cell_length_a 4.2546
_cell_length_b 4.2546
_cell_length_c 12.2595
_cell_angle_alpha 90.00
_cell_angle_beta 90.00
_cell_angle_gamma 90.00
_space_group_name_H-M_alt 'I 4/m m m'
_space_group_IT_number 139
_space_group_name_Hall '-I 4 2'
loop_
_atom_site_label
_atom_site_fract_x
_atom_site_fract_y
_atom_site_fract_z
Sr1 0.0000 0.0000 0.0000
Tc1 0.0000 0.5000 0.2500
Sn1 0.0000 0.0000 0.3802
```

***

Compound: Sr3TcSn
Source: Alexandria
Functional: PBEsol
Structure: relaxed

Geometry as CIF:
```
data_Sr3TcSn
_cell_length_a 5.4845
_cell_length_b 5.4845
_cell_length_c 5.4845
_cell_angle_alpha 90.00
_cell_angle_beta 90.00
_cell_angle_gamma 90.00
_space_group_name_H-M_alt 'P m -3 m'
_space_group_IT_number 221
_space_group_name_Hall '-P 4 2 3'
loop_
_atom_site_label
_atom_site_fract_x
_atom_site_fract_y
_atom_site_fract_z
Sr1 0.0000 0.0000 0.5000
Tc1 0.0000 0.0000 0.0000
Sn1 0.5000 0.5000 0.5000
```

***

| no. | total magnetization (μB per cell) | calculated total energy (eV/cell) | ΔH_f (0 K) (eV per atom) |
| --- | --- | --- | --- |
| 1 | 0.0 | -27.4 | -0.049 |
| 2 | 6.5 | -49.3 | 1.160 |
| 3 | 3.6 | -65.0 | 0.076 |
| 4 | 0.0 | -18.5 | 0.505 |